This record from the Alexandria database describes crystalline Tb4GePSe2 at its relaxed geometry. The functional is GGA-PBE.

Lattice parameters (Å, degrees): 4.102 7.146 7.099 70.69 90.00 90.00
Fractional positions:
Se  0.000  0.000  0.000
Se  0.500  0.000  0.500
Tb  0.000  0.732  0.758
P  0.500  0.500  0.000
Tb  0.500  0.736  0.253
Tb  0.000  0.268  0.242
Ge  0.000  0.500  0.500
Tb  0.500  0.264  0.747

Properties
raw total energy = -48.37 eV/cell
space-group type = No. 10
energy relative to the elements, uncorrected = -1607 meV per atom


This record from the Alexandria database describes crystalline Tb4GeP2Se at its relaxed geometry. The functional is GGA-PBE.

Lattice parameters (Å, degrees): 4.043 7.099 7.088 70.93 90.00 90.00
Fractional positions:
Ge  0.000  0.500  0.500
P  0.500  0.000  0.500
Tb  0.500  0.760  0.248
Tb  0.000  0.237  0.260
P  0.000  0.000  0.000
Tb  0.000  0.763  0.740
Se  0.500  0.500  0.000
Tb  0.500  0.240  0.752

Properties
raw total energy = -49.55 eV/cell
space-group type = No. 10
energy relative to the elements, uncorrected = -1514 meV per atom